The following is a DFT calculation (PBE) of a geometry-optimized Cs2HfCuS4 structure.

abc: 7.993 7.993 7.382
angles: 89.95 89.95 98.23
Positions (direct):
Cu: 0.500 0.500 0.500
Cu: 0.000 0.000 0.000
Cs: 0.000 0.000 0.500
Cs: 0.500 0.500 0.000
Cs: 0.500 0.000 0.000
Cs: 0.500 0.000 0.500
S: 0.836 0.767 0.000
S: 0.733 0.664 0.500
S: 0.831 0.332 0.250
S: 0.169 0.668 0.750
S: 0.168 0.669 0.250
S: 0.164 0.233 0.000
S: 0.267 0.336 0.500
S: 0.832 0.331 0.750
Hf: 0.000 0.500 0.500
Hf: 0.000 0.500 0.000

## Properties
**Size of the total moment**: 0.0 μB/cell
**Space group**: C2/c (15)
**Fermi-level density of states**: 0.515 states/eV/atom
**Electronic total energy**: -4.967 eV/atom